[1]
The following is a DFT calculation (PBE-GGA) of a relaxed Zr2As3Se crystal.

POSCAR file:
```
Zr2As3Se
1.0
3.813 0.000 0.000
0.000 3.813 0.000
0.000 0.000 8.159
Zr As Se
2 3 1
direct
0.000 0.000 0.000 Zr
0.500 0.500 0.468 Zr
0.000 0.500 0.733 As
0.500 0.000 0.733 As
0.500 0.500 0.112 As
0.000 0.000 0.353 Se
```

Its crystal system is tetragonal. As for the magnetization: 0.00 μB per cell. As for the volume: 118.61 Å³ per cell. Its raw formation energy is -941.1 meV/atom.



[2]
The following is a DFT calculation (PBE-GGA) of a relaxed Zr2AsSe crystal.

POSCAR file:
```
Zr2AsSe
1.0
0.000 3.367 3.367
3.367 0.000 3.367
3.367 3.367 0.000
Zr As Se
2 1 1
direct
0.250 0.250 0.250 Zr
0.750 0.750 0.750 Zr
0.000 0.000 0.000 As
0.500 0.500 0.500 Se
```

Its crystal system is cubic. As for the magnetization: 0.00 μB per cell. As for the volume: 76.32 Å³ per cell. Its raw formation energy is -1011.3 meV/atom. The energy above the most stable polymorph in this dataset comes out at 137 meV per atom.



[3]
The following is a DFT calculation (PBE-GGA) of a relaxed Zr2AsSe crystal.

POSCAR file:
```
Zr2AsSe
1.0
-1.900 1.900 5.865
1.900 -1.900 5.865
1.900 1.900 -5.865
Zr As Se
2 1 1
direct
0.000 0.000 0.000 Zr
0.750 0.250 0.500 Zr
0.250 0.750 0.500 As
0.500 0.500 0.000 Se
```

Its crystal system is tetragonal. As for the magnetization: 0.00 μB per cell. As for the volume: 84.67 Å³ per cell. Its raw formation energy is -697.3 meV/atom. The energy above the most stable polymorph in this dataset comes out at 451 meV per atom.



[4]
The following is a DFT calculation (PBE-GGA) of a relaxed Zr2AsSe crystal.

POSCAR file:
```
Zr2AsSe
1.0
-1.731 2.307 5.168
1.731 -2.307 5.168
1.731 2.307 -5.168
Zr As Se
2 1 1
direct
0.000 0.000 0.000 Zr
0.717 0.217 0.500 Zr
0.216 0.716 0.500 As
0.507 0.507 0.000 Se
```

Its crystal system is orthorhombic. As for the magnetization: 0.27 μB per cell. As for the volume: 82.56 Å³ per cell. Its raw formation energy is -729.0 meV/atom. The energy above the most stable polymorph in this dataset comes out at 420 meV per atom.



[5]
The following is a DFT calculation (PBE-GGA) of a relaxed Zr2AsSe crystal.

POSCAR file:
```
Zr2AsSe
1.0
0.000 3.431 3.431
3.431 0.000 3.431
3.431 3.431 0.000
Zr As Se
2 1 1
direct
0.000 0.000 0.000 Zr
0.250 0.250 0.250 Zr
0.500 0.500 0.500 As
0.750 0.750 0.750 Se
```

Its crystal system is cubic. As for the magnetization: 1.67 μB per cell. As for the volume: 80.76 Å³ per cell. Its raw formation energy is -102.2 meV/atom. The energy above the most stable polymorph in this dataset comes out at 1046 meV per atom.



[6]
The following is a DFT calculation (PBE-GGA) of a relaxed ZrAsSe2 crystal.

POSCAR file:
```
ZrAsSe2
1.0
1.899 -2.299 0.000
1.899 2.299 0.000
0.000 0.000 10.993
Zr As Se
1 1 2
direct
0.000 0.000 0.000 Zr
0.500 0.500 0.188 As
0.000 0.000 0.504 Se
0.500 0.500 0.821 Se
```

Its crystal system is orthorhombic. As for the magnetization: 0.00 μB per cell. As for the volume: 96.01 Å³ per cell. Its raw formation energy is -266.0 meV/atom.



[7]
The following is a DFT calculation (PBE-GGA) of a relaxed ZrAsSe2 crystal.

POSCAR file:
```
ZrAsSe2
1.0
4.816 0.000 0.000
0.000 4.816 0.000
0.000 0.000 3.396
Zr As Se
1 1 2
direct
0.000 0.000 0.000 Zr
0.500 0.500 0.000 As
0.000 0.500 0.500 Se
0.500 0.000 0.500 Se
```

Its crystal system is tetragonal. As for the magnetization: 0.00 μB per cell. As for the volume: 78.75 Å³ per cell. Its raw formation energy is -326.0 meV/atom.



[8]
The following is a DFT calculation (PBE-GGA) of a relaxed Zr2AsSe crystal.

POSCAR file:
```
Zr2AsSe
1.0
1.850 1.068 8.462
-1.850 1.068 8.462
0.000 -2.136 8.462
Zr As Se
2 1 1
direct
0.000 0.000 0.000 Zr
0.238 0.238 0.238 Zr
0.512 0.512 0.512 As
0.729 0.729 0.729 Se
```

Its crystal system is trigonal. As for the magnetization: 0.00 μB per cell. As for the volume: 100.31 Å³ per cell. Its raw formation energy is -468.1 meV/atom. The energy above the most stable polymorph in this dataset comes out at 681 meV per atom.



[9]
The following is a DFT calculation (PBE-GGA) of a relaxed Zr2AsSe crystal.

POSCAR file:
```
Zr2AsSe
1.0
4.966 -1.725 0.000
4.966 1.725 0.000
-0.438 0.000 4.667
Zr As Se
2 1 1
direct
0.000 0.000 0.000 Zr
0.226 0.226 0.547 Zr
0.505 0.505 0.503 As
0.723 0.723 0.048 Se
```

Its crystal system is monoclinic. As for the magnetization: 0.00 μB per cell. As for the volume: 79.98 Å³ per cell. Its raw formation energy is -1005.4 meV/atom. The energy above the most stable polymorph in this dataset comes out at 143 meV per atom.



[10]
The following is a DFT calculation (PBE-GGA) of a relaxed Zr2AsSe crystal.

POSCAR file:
```
Zr2AsSe
1.0
1.947 1.124 6.438
-1.947 1.124 6.438
0.000 -2.249 6.438
Zr As Se
2 1 1
direct
0.239 0.239 0.239 Zr
0.761 0.761 0.761 Zr
0.500 0.500 0.500 As
0.000 0.000 0.000 Se
```

Its crystal system is trigonal. As for the magnetization: 0.00 μB per cell. As for the volume: 84.61 Å³ per cell. Its raw formation energy is -1099.7 meV/atom. The energy above the most stable polymorph in this dataset comes out at 49 meV per atom.



[11]
The following is a DFT calculation (PBE-GGA) of a relaxed ZrAsSe2 crystal.

POSCAR file:
```
ZrAsSe2
1.0
1.804 1.041 8.751
-1.804 1.041 8.751
0.000 -2.083 8.751
Zr As Se
1 1 2
direct
0.000 0.000 0.000 Zr
0.500 0.500 0.500 As
0.399 0.399 0.399 Se
0.601 0.601 0.601 Se
```

Its crystal system is trigonal. As for the magnetization: 0.00 μB per cell. As for the volume: 98.62 Å³ per cell. Its raw formation energy is -634.7 meV/atom.



[12]
The following is a DFT calculation (PBE-GGA) of a relaxed ZrAsSe2 crystal.

POSCAR file:
```
ZrAsSe2
1.0
-1.859 1.896 7.321
1.859 -1.896 7.321
1.859 1.896 -7.321
Zr As Se
1 1 2
direct
0.000 0.000 0.000 Zr
0.853 0.353 0.500 As
0.358 0.858 0.500 Se
0.577 0.577 0.000 Se
```

Its crystal system is orthorhombic. As for the magnetization: 0.00 μB per cell. As for the volume: 103.22 Å³ per cell. Its raw formation energy is -796.3 meV/atom.



Question: The lowest raw formation energy belongs to which entry?
Answer: number 10



Question: Among the records above, which one has the highest raw formation energy?
Answer: number 5



Question: What is the magnetization in the first record?
Answer: 0.00 μB per cell